# PBE Pr2Dy6YTm3, relaxed
# Total energy ... -56.789 eV/f.u.
# DOS at the Fermi energy ... 1.34 states/eV per atom
# Energy of formation ... 0.022 eV per atom
# Magnetization ... 0.00 μB per cell
data_Pr2Dy6YTm3
_cell_length_a 6.170
_cell_length_b 10.677
_cell_length_c 11.799
_cell_angle_alpha 90.00
_cell_angle_beta 99.99
_cell_angle_gamma 90.00
_space_group_name_H-M_alt 'C 1 2/m 1'
_space_group_IT_number 12
loop_
_space_group_symop_operation_xyz
'x,y,z'
'-x,-y,-z'
'-x,y,-z'
'x,-y,z'
'x+1/2,y+1/2,z'
'-x+1/2,-y+1/2,-z'
'-x+1/2,y+1/2,-z'
'x+1/2,-y+1/2,z'
loop_
_atom_site_label
_atom_site_fract_x
_atom_site_fract_y
_atom_site_fract_z
Pr1 0.000 0.167 0.000
Dy1 0.247 0.500 0.745
Dy2 0.248 0.166 0.745
Y1 0.000 0.500 0.000
Tm1 0.000 0.000 0.500
Tm2 0.000 0.334 0.500


# PBE RbCdHg2Bi, relaxed
# Total energy ... -6.369 eV/f.u.
# DOS at the Fermi energy ... 0.42 states/eV per atom
# Relative energy among the computed polymorphs ... 0.840 eV per formula unit
# Energy of formation ... 0.000 eV per atom
# Magnetization ... 0.00 μB per cell
data_RbCdHg2Bi
_cell_length_a 6.012
_cell_length_b 6.012
_cell_length_c 6.030
_cell_angle_alpha 90.00
_cell_angle_beta 90.00
_cell_angle_gamma 90.00
_space_group_name_H-M_alt 'P 4/m m m'
_space_group_IT_number 123
_space_group_name_Hall '-P 4 2'
loop_
_atom_site_label
_atom_site_fract_x
_atom_site_fract_y
_atom_site_fract_z
Rb1 0.000 0.000 0.000
Cd1 0.500 0.500 0.000
Hg1 0.000 0.500 0.500
Bi1 0.500 0.500 0.500


# PBE YErTl, relaxed
# Total energy ... -13.568 eV/f.u.
# DOS at the Fermi energy ... 1.39 states/eV per atom
# Relative energy among the computed polymorphs ... 0.683 eV per formula unit
# Energy of formation ... -0.058 eV per atom
# Magnetization ... 0.00 μB per cell
data_YErTl
_cell_length_a 7.305
_cell_length_b 7.305
_cell_length_c 7.305
_cell_angle_alpha 90.00
_cell_angle_beta 90.00
_cell_angle_gamma 90.00
_space_group_name_H-M_alt 'F -4 3 m'
_space_group_IT_number 216
_space_group_name_Hall 'F -4 2 3'
loop_
_atom_site_label
_atom_site_fract_x
_atom_site_fract_y
_atom_site_fract_z
Y1 0.000 0.000 0.000
Er1 0.000 0.000 0.500
Tl1 0.250 0.250 0.750


# PBE Ta2ZnMo, relaxed
# Total energy ... -35.782 eV/f.u.
# DOS at the Fermi energy ... 0.83 states/eV per atom
# Energy of formation ... 0.007 eV per atom
# Magnetization ... 0.00 μB per cell
data_Ta2ZnMo
_cell_length_a 3.279
_cell_length_b 4.496
_cell_length_c 9.117
_cell_angle_alpha 90.00
_cell_angle_beta 90.00
_cell_angle_gamma 90.00
_space_group_name_H-M_alt 'C m m m'
_space_group_IT_number 65
_space_group_name_Hall '-C 2 2'
loop_
_atom_site_label
_atom_site_fract_x
_atom_site_fract_y
_atom_site_fract_z
Ta1 0.000 0.000 0.249
Zn1 0.000 0.500 0.500
Mo1 0.000 0.500 0.000


# PBE YTl2Ir2, relaxed
# Total energy ... -28.891 eV/f.u.
# DOS at the Fermi energy ... 0.89 states/eV per atom
# Relative energy among the computed polymorphs ... 0.031 eV per formula unit
# Energy of formation ... 0.006 eV per atom
# Magnetization ... 0.00 μB per cell
data_YTl2Ir2
_cell_length_a 4.231
_cell_length_b 4.231
_cell_length_c 12.549
_cell_angle_alpha 90.00
_cell_angle_beta 90.00
_cell_angle_gamma 90.00
_space_group_name_H-M_alt 'I 4/m m m'
_space_group_IT_number 139
_space_group_name_Hall '-I 4 2'
loop_
_atom_site_label
_atom_site_fract_x
_atom_site_fract_y
_atom_site_fract_z
Y1 0.000 0.000 0.000
Tl1 0.000 0.500 0.250
Ir1 0.000 0.000 0.403


# PBE Rb4Br3O, relaxed
# Total energy ... -24.907 eV/f.u.
# Formation energy (no corrections) ... -1.38 eV/atom
# Magnetization ... 2.00 μB per cell
data_Rb4Br3O
_cell_length_a 8.495
_cell_length_b 8.495
_cell_length_c 9.538
_cell_angle_alpha 90.00
_cell_angle_beta 90.00
_cell_angle_gamma 90.00
_space_group_name_H-M_alt 'I -4 2 m'
_space_group_IT_number 121
_space_group_name_Hall 'I -4 2'
loop_
_atom_site_label
_atom_site_fract_x
_atom_site_fract_y
_atom_site_fract_z
Rb1 0.227 0.227 0.417
Br1 0.000 0.000 0.000
Br2 0.000 0.500 0.250
O1 0.000 0.000 0.500


# PBE Ta2OsBr, relaxed
# Total energy ... -35.814 eV/f.u.
# DOS at the Fermi energy ... 0.36 states/eV per atom
# Relative energy among the computed polymorphs ... 0.229 eV per formula unit
# Formation energy (no corrections) ... 0.20 eV/atom
# Magnetization ... 0.00 μB per cell
data_Ta2OsBr
_cell_length_a 7.118
_cell_length_b 3.870
_cell_length_c 7.554
_cell_angle_alpha 90.00
_cell_angle_beta 117.13
_cell_angle_gamma 90.00
_space_group_name_H-M_alt 'C 1 2/m 1'
_space_group_IT_number 12
loop_
_space_group_symop_operation_xyz
'x,y,z'
'-x,-y,-z'
'-x,y,-z'
'x,-y,z'
'x+1/2,y+1/2,z'
'-x+1/2,-y+1/2,-z'
'-x+1/2,y+1/2,-z'
'x+1/2,-y+1/2,z'
loop_
_atom_site_label
_atom_site_fract_x
_atom_site_fract_y
_atom_site_fract_z
Ta1 0.103 0.000 0.341
Os1 0.000 0.500 0.500
Br1 0.000 0.500 0.000


# PBE Ag5SbAu4, relaxed
# Total energy ... -31.664 eV/f.u.
# DOS at the Fermi energy ... 0.18 states/eV per atom
# Relative energy among the computed polymorphs ... 0.000 eV per formula unit
# Formation energy (no corrections) ... -0.02 eV/atom
# Magnetization ... 0.00 μB per cell
data_Ag5SbAu4
_cell_length_a 5.149
_cell_length_b 5.946
_cell_length_c 6.677
_cell_angle_alpha 76.66
_cell_angle_beta 74.90
_cell_angle_gamma 73.81
_space_group_name_H-M_alt 'P -1'
_space_group_IT_number 2
loop_
_space_group_symop_operation_xyz
'x,y,z'
'-x,-y,-z'
loop_
_atom_site_label
_atom_site_fract_x
_atom_site_fract_y
_atom_site_fract_z
Ag1 0.000 0.000 0.000
Ag2 0.203 0.298 0.594
Ag3 0.406 0.097 0.203
Sb1 0.000 0.500 0.000
Au1 0.200 0.804 0.595
Au2 0.396 0.606 0.203


# PBE MnCoNi4, relaxed
# Total energy ... -39.480 eV/f.u.
# DOS at the Fermi energy ... 1.30 states/eV per atom
# Relative energy among the computed polymorphs ... 0.000 eV per formula unit
# Energy of formation ... -0.013 eV per atom
# Magnetization ... 7.19 μB per cell
data_MnCoNi4
_cell_length_a 2.542
_cell_length_b 3.483
_cell_length_c 7.611
_cell_angle_alpha 90.00
_cell_angle_beta 90.00
_cell_angle_gamma 90.00
_space_group_name_H-M_alt 'P m m m'
_space_group_IT_number 47
loop_
_space_group_symop_operation_xyz
'x,y,z'
'-x,-y,-z'
'-x,-y,z'
'x,y,-z'
'x,-y,-z'
'-x,y,z'
'-x,y,-z'
'x,-y,z'
loop_
_atom_site_label
_atom_site_fract_x
_atom_site_fract_y
_atom_site_fract_z
Mn1 0.000 0.000 0.000
Co1 0.500 0.500 0.500
Ni1 0.000 0.000 0.337
Ni2 0.500 0.500 0.171


# PBE K2TeI5, relaxed
# Total energy ... -19.263 eV/f.u.
# DOS at the Fermi energy ... 0.18 states/eV per atom
# Relative energy among the computed polymorphs ... 0.000 eV per formula unit
# Formation energy (no corrections) ... -0.77 eV/atom
# Magnetization ... 0.00 μB per cell
data_K2TeI5
_cell_length_a 6.806
_cell_length_b 16.481
_cell_length_c 15.290
_cell_angle_alpha 90.00
_cell_angle_beta 90.00
_cell_angle_gamma 90.00
_space_group_name_H-M_alt 'C m c m'
_space_group_IT_number 63
_space_group_name_Hall '-C 2c 2'
loop_
_atom_site_label
_atom_site_fract_x
_atom_site_fract_y
_atom_site_fract_z
K1 0.000 0.171 0.080
Te1 0.000 0.174 0.750
I1 0.000 0.050 0.613
I2 0.000 0.305 0.610
I3 0.000 0.318 0.250


# PBE Li2Pb, relaxed
# Total energy ... -8.353 eV/f.u.
# DOS at the Fermi energy ... 0.54 states/eV per atom
# Energy of formation ... -0.272 eV per atom
# Magnetization ... 0.00 μB per cell
data_Li2Pb
_cell_length_a 4.8557
_cell_length_b 4.8557
_cell_length_c 5.9000
_cell_angle_alpha 90.00
_cell_angle_beta 90.00
_cell_angle_gamma 120.00
_space_group_name_H-M_alt 'P 63/m m c'
_space_group_IT_number 194
_space_group_name_Hall '-P 6c 2c'
loop_
_atom_site_label
_atom_site_fract_x
_atom_site_fract_y
_atom_site_fract_z
Li1 0.0000 0.0000 0.0000
Li2 0.3333 0.6667 0.2500
Pb1 0.3333 0.6667 0.7500


# PBE Sr3Eu, relaxed
# Total energy ... -15.204 eV/f.u.
# DOS at the Fermi energy ... 1.02 states/eV per atom
# Relative energy among the computed polymorphs ... 0.012 eV per formula unit
# Energy of formation ... 0.029 eV per atom
# Magnetization ... 7.51 μB per cell
data_Sr3Eu
_cell_length_a 5.939
_cell_length_b 5.939
_cell_length_c 5.939
_cell_angle_alpha 90.00
_cell_angle_beta 90.00
_cell_angle_gamma 90.00
_space_group_name_H-M_alt 'P m -3 m'
_space_group_IT_number 221
_space_group_name_Hall '-P 4 2 3'
loop_
_atom_site_label
_atom_site_fract_x
_atom_site_fract_y
_atom_site_fract_z
Sr1 0.000 0.000 0.500
Eu1 0.500 0.500 0.500


Copy entry 3 word for word.
# PBE YErTl, relaxed
# Total energy ... -13.568 eV/f.u.
# DOS at the Fermi energy ... 1.39 states/eV per atom
# Relative energy among the computed polymorphs ... 0.683 eV per formula unit
# Energy of formation ... -0.058 eV per atom
# Magnetization ... 0.00 μB per cell
data_YErTl
_cell_length_a 7.305
_cell_length_b 7.305
_cell_length_c 7.305
_cell_angle_alpha 90.00
_cell_angle_beta 90.00
_cell_angle_gamma 90.00
_space_group_name_H-M_alt 'F -4 3 m'
_space_group_IT_number 216
_space_group_name_Hall 'F -4 2 3'
loop_
_atom_site_label
_atom_site_fract_x
_atom_site_fract_y
_atom_site_fract_z
Y1 0.000 0.000 0.000
Er1 0.000 0.000 0.500
Tl1 0.250 0.250 0.750